# YTlRu2O (PBE, optimized geometry)
# - Density of states at the Fermi level: 4.9 states/eV/f.u.
# - Calculated volume: 22.4 A^3/atom
# - Energy: -5.443 eV per atom
# - Crystal system: tetragonal
# - Total magnetic moment: 3.2 μB per formula unit
data_YTlRu2O
_chemical_formula_sum 'Y1 Tl1 Ru2 O1'
_space_group_name_H-M_alt 'P 1'
_space_group_IT_number 1
_cell_length_a 5.115
_cell_length_b 5.115
_cell_length_c 4.277
_cell_angle_alpha 90.00
_cell_angle_beta 90.00
_cell_angle_gamma 90.00
loop_
_space_group_symop_operation_xyz
'x,y,z'
loop_
_atom_site_label
_atom_site_type_symbol
_atom_site_fract_x
_atom_site_fract_y
_atom_site_fract_z
Y1 Y 0.000 0.000 0.000
Tl1 Tl 0.500 0.500 0.500
Ru1 Ru 0.000 0.500 0.500
Ru2 Ru 0.500 0.000 0.500
O1 O 0.500 0.500 0.000



# YTlRuO2 (PBE, optimized geometry)
# - Density of states at the Fermi level: 5.7 states/eV/f.u.
# - Calculated volume: 19.2 A^3/atom
# - Energy: -5.389 eV per atom
# - Crystal system: tetragonal
# - Total magnetic moment: 1.4 μB per formula unit
data_YTlRuO2
_chemical_formula_sum 'Y1 Tl1 Ru1 O2'
_space_group_name_H-M_alt 'P 1'
_space_group_IT_number 1
_cell_length_a 4.300
_cell_length_b 4.300
_cell_length_c 5.182
_cell_angle_alpha 90.00
_cell_angle_beta 90.00
_cell_angle_gamma 90.00
loop_
_space_group_symop_operation_xyz
'x,y,z'
loop_
_atom_site_label
_atom_site_type_symbol
_atom_site_fract_x
_atom_site_fract_y
_atom_site_fract_z
Y1 Y 0.000 0.000 0.000
Tl1 Tl 0.500 0.500 0.500
Ru1 Ru 0.500 0.500 0.000
O1 O 0.000 0.500 0.500
O2 O 0.500 0.000 0.500



# YTlRuO6 (PBE, optimized geometry)
# - Density of states at the Fermi level: 4.5 states/eV/f.u.
# - Calculated volume: 13.7 A^3/atom
# - Energy: -6.706 eV per atom
# - Crystal system: trigonal
# - Total magnetic moment: 1.6 μB per formula unit
data_YTlRuO6
_chemical_formula_sum 'Y1 Tl1 Ru1 O6'
_space_group_name_H-M_alt 'P 1'
_space_group_IT_number 1
_cell_length_a 5.526
_cell_length_b 5.526
_cell_length_c 4.677
_cell_angle_alpha 90.00
_cell_angle_beta 90.00
_cell_angle_gamma 120.00
loop_
_space_group_symop_operation_xyz
'x,y,z'
loop_
_atom_site_label
_atom_site_type_symbol
_atom_site_fract_x
_atom_site_fract_y
_atom_site_fract_z
Y1 Y 0.000 0.000 0.000
Tl1 Tl 0.667 0.333 0.500
Ru1 Ru 0.333 0.667 0.000
O1 O 0.046 0.373 0.235
O2 O 0.046 0.673 0.765
O3 O 0.327 0.373 0.765
O4 O 0.327 0.954 0.235
O5 O 0.627 0.673 0.235
O6 O 0.627 0.954 0.765



# Y2Tl2RuO6 (PBE, optimized geometry)
# - Density of states at the Fermi level: 6.3 states/eV/f.u.
# - Calculated volume: 17.4 A^3/atom
# - Energy: -7.048 eV per atom
# - Crystal system: monoclinic
# - Total magnetic moment: 2.0 μB per formula unit
data_Y2Tl2RuO6
_chemical_formula_sum 'Y2 Tl2 Ru1 O6'
_space_group_name_H-M_alt 'P 1'
_space_group_IT_number 1
_cell_length_a 5.800
_cell_length_b 5.800
_cell_length_c 6.772
_cell_angle_alpha 97.14
_cell_angle_beta 97.14
_cell_angle_gamma 120.00
loop_
_space_group_symop_operation_xyz
'x,y,z'
loop_
_atom_site_label
_atom_site_type_symbol
_atom_site_fract_x
_atom_site_fract_y
_atom_site_fract_z
Y1 Y 0.165 0.835 0.000
Y2 Y 0.835 0.165 0.000
Tl1 Tl 0.338 0.662 0.500
Tl2 Tl 0.662 0.338 0.500
Ru1 Ru 0.500 0.500 0.000
O1 O 0.148 0.456 0.838
O2 O 0.248 0.248 0.171
O3 O 0.456 0.148 0.838
O4 O 0.544 0.852 0.162
O5 O 0.752 0.752 0.829
O6 O 0.852 0.544 0.162



# YTlRu2O8 (PBE, optimized geometry)
# - Density of states at the Fermi level: 2.0 states/eV/f.u.
# - Calculated volume: 20.1 A^3/atom
# - Energy: -6.906 eV per atom
# - Crystal system: monoclinic
# - Total magnetic moment: 4.0 μB per formula unit
data_YTlRu2O8
_chemical_formula_sum 'Y1 Tl1 Ru2 O8'
_space_group_name_H-M_alt 'P 1'
_space_group_IT_number 1
_cell_length_a 5.663
_cell_length_b 5.663
_cell_length_c 8.276
_cell_angle_alpha 91.65
_cell_angle_beta 91.65
_cell_angle_gamma 65.28
loop_
_space_group_symop_operation_xyz
'x,y,z'
loop_
_atom_site_label
_atom_site_type_symbol
_atom_site_fract_x
_atom_site_fract_y
_atom_site_fract_z
Y1 Y 0.000 0.000 0.000
Tl1 Tl 0.000 0.000 0.500
Ru1 Ru 0.366 0.366 0.227
Ru2 Ru 0.634 0.634 0.773
O1 O 0.224 0.714 0.197
O2 O 0.228 0.228 0.073
O3 O 0.286 0.776 0.803
O4 O 0.299 0.299 0.422
O5 O 0.701 0.701 0.578
O6 O 0.714 0.224 0.197
O7 O 0.772 0.772 0.927
O8 O 0.776 0.286 0.803



# TlZnRu2O8 (PBE, optimized geometry)
# - Density of states at the Fermi level: 6.6 states/eV/f.u.
# - Calculated volume: 17.4 A^3/atom
# - Energy: -5.980 eV per atom
# - Crystal system: monoclinic
# - Total magnetic moment: 3.0 μB per formula unit
data_TlZnRu2O8
_chemical_formula_sum 'Tl1 Zn1 Ru2 O8'
_space_group_name_H-M_alt 'P 1'
_space_group_IT_number 1
_cell_length_a 5.339
_cell_length_b 5.339
_cell_length_c 7.987
_cell_angle_alpha 93.34
_cell_angle_beta 93.34
_cell_angle_gamma 66.71
loop_
_space_group_symop_operation_xyz
'x,y,z'
loop_
_atom_site_label
_atom_site_type_symbol
_atom_site_fract_x
_atom_site_fract_y
_atom_site_fract_z
Tl1 Tl 0.000 0.000 0.000
Zn1 Zn 0.000 0.000 0.500
Ru1 Ru 0.374 0.374 0.709
Ru2 Ru 0.626 0.626 0.291
O1 O 0.230 0.230 0.544
O2 O 0.230 0.737 0.691
O3 O 0.263 0.770 0.309
O4 O 0.305 0.305 0.909
O5 O 0.695 0.695 0.091
O6 O 0.737 0.230 0.691
O7 O 0.770 0.263 0.309
O8 O 0.770 0.770 0.456



# ZrTlRuO6 (PBE, optimized geometry)
# - Density of states at the Fermi level: 2.9 states/eV/f.u.
# - Calculated volume: 13.3 A^3/atom
# - Energy: -7.081 eV per atom
# - Crystal system: trigonal
# - Total magnetic moment: 2.8 μB per formula unit
data_ZrTlRuO6
_chemical_formula_sum 'Zr1 Tl1 Ru1 O6'
_space_group_name_H-M_alt 'P 1'
_space_group_IT_number 1
_cell_length_a 5.369
_cell_length_b 5.369
_cell_length_c 4.809
_cell_angle_alpha 90.00
_cell_angle_beta 90.00
_cell_angle_gamma 120.00
loop_
_space_group_symop_operation_xyz
'x,y,z'
loop_
_atom_site_label
_atom_site_type_symbol
_atom_site_fract_x
_atom_site_fract_y
_atom_site_fract_z
Zr1 Zr 0.000 0.000 0.000
Tl1 Tl 0.667 0.333 0.500
Ru1 Ru 0.333 0.667 0.000
O1 O 0.035 0.352 0.228
O2 O 0.035 0.683 0.772
O3 O 0.317 0.352 0.772
O4 O 0.317 0.965 0.228
O5 O 0.648 0.683 0.228
O6 O 0.648 0.965 0.772



# ZrTl2RuO (PBE, optimized geometry)
# - Density of states at the Fermi level: 3.6 states/eV/f.u.
# - Calculated volume: 26.4 A^3/atom
# - Energy: -5.259 eV per atom
# - Crystal system: tetragonal
# - Total magnetic moment: 2.1 μB per formula unit
data_ZrTl2RuO
_chemical_formula_sum 'Zr1 Tl2 Ru1 O1'
_space_group_name_H-M_alt 'P 1'
_space_group_IT_number 1
_cell_length_a 5.814
_cell_length_b 5.814
_cell_length_c 3.910
_cell_angle_alpha 90.00
_cell_angle_beta 90.00
_cell_angle_gamma 90.00
loop_
_space_group_symop_operation_xyz
'x,y,z'
loop_
_atom_site_label
_atom_site_type_symbol
_atom_site_fract_x
_atom_site_fract_y
_atom_site_fract_z
Zr1 Zr 0.000 0.000 0.000
Tl1 Tl 0.000 0.500 0.000
Tl2 Tl 0.500 0.000 0.000
Ru1 Ru 0.500 0.500 0.500
O1 O 0.000 0.000 0.500



Number 1: formation energy from raw total energies 1026 meV per atom. Number 2: formation energy from raw total energies 216 meV per atom. Number 3: formation energy from raw total energies -1389 meV per atom. Number 4: formation energy from raw total energies -1895 meV per atom. Number 5: formation energy from raw total energies -1318 meV per atom. Number 6: formation energy from raw total energies -826 meV per atom. Number 7: formation energy from raw total energies -1532 meV per atom. Number 8: formation energy from raw total energies 244 meV per atom.